Run A
Density functional theory data (GGA-PBE) for a relaxed ZnI2NO crystal.

Values from the calculation:
Its theoretical density is 4.48 g cm⁻³.

Unit cell a=5.9299 b=5.9299 c=3.6850 alpha=90.00 beta=90.00 gamma=90.00
Last column: nearest neighbours and their distance in Å.
Space group P4/mmm (No. 123)
Symmetry-distinct sites (fractional):
Zn (0.0000, 0.0000, 0.0000) (multiplicity 1)  2 N 1.84
I (0.0000, 0.5000, 0.0000) (multiplicity 2)  2 Zn 2.96
N (0.0000, 0.0000, 0.5000) (multiplicity 1)  2 Zn 1.84
O (0.5000, 0.5000, 0.5000) (multiplicity 1)  8 I 3.49, 2 O 3.69

---

Run B
Density functional theory data (GGA-PBE) for a relaxed ZnI2NO crystal.

Values from the calculation:
Its theoretical density is 3.67 g cm⁻³.

Unit cell a=6.8098 b=6.8098 c=3.4071 alpha=90.00 beta=90.00 gamma=90.00
Last column: nearest neighbours and their distance in Å.
Space group P4/mmm (No. 123)
Symmetry-distinct sites (fractional):
Zn (0.0000, 0.0000, 0.0000) (multiplicity 1)  2 O 1.70
I (0.0000, 0.5000, 0.0000) (multiplicity 2)  2 Zn 3.40, 2 I 3.41, 4 N 3.81, 4 O 3.81
N (0.5000, 0.5000, 0.5000) (multiplicity 1)  2 N 3.41, 8 I 3.81
O (0.0000, 0.0000, 0.5000) (multiplicity 1)  2 Zn 1.70

---

Run C
Density functional theory data (GGA-PBE) for a relaxed ZnI2NO crystal.

Values from the calculation:
Its theoretical density is 6.13 g cm⁻³.

Unit cell a=5.0495 b=5.0495 c=3.7081 alpha=90.00 beta=90.00 gamma=90.00
Last column: nearest neighbours and their distance in Å.
Space group P4/mmm (No. 123)
Symmetry-distinct sites (fractional):
Zn (0.0000, 0.0000, 0.0000) (multiplicity 1)  8 I 3.13
I (0.0000, 0.5000, 0.5000) (multiplicity 2)  2 N 2.52
N (0.5000, 0.5000, 0.5000) (multiplicity 1)  2 O 1.85
O (0.5000, 0.5000, 0.0000) (multiplicity 1)  2 N 1.85

---

Most stable pick: run B. Distance to second place: 197 meV per atom.

---

Run A
Density functional theory data (GGA-PBE) for a relaxed ZrI2NO crystal.

Values from the calculation:
Its theoretical density is 4.46 g cm⁻³.

Unit cell a=5.8899 b=5.8899 c=4.0285 alpha=90.00 beta=90.00 gamma=90.00
Last column: nearest neighbours and their distance in Å.
Space group P4/mmm (No. 123)
Symmetry-distinct sites (fractional):
Zr (0.0000, 0.0000, 0.0000) (multiplicity 1)  2 O 2.01
I (0.0000, 0.5000, 0.0000) (multiplicity 2)  2 Zr 2.94
N (0.5000, 0.5000, 0.5000) (multiplicity 1)  8 I 3.57
O (0.0000, 0.0000, 0.5000) (multiplicity 1)  2 Zr 2.01

---

Run B
Density functional theory data (GGA-PBE) for a relaxed ZrI2NO crystal.

Values from the calculation:
Its theoretical density is 4.59 g cm⁻³.

Unit cell a=5.7962 b=5.7962 c=4.0401 alpha=90.00 beta=90.00 gamma=90.00
Last column: nearest neighbours and their distance in Å.
Space group P4/mmm (No. 123)
Symmetry-distinct sites (fractional):
Zr (0.0000, 0.0000, 0.0000) (multiplicity 1)  2 N 2.02
I (0.0000, 0.5000, 0.0000) (multiplicity 2)  2 Zr 2.90
N (0.0000, 0.0000, 0.5000) (multiplicity 1)  2 Zr 2.02
O (0.5000, 0.5000, 0.5000) (multiplicity 1)  8 I 3.53

---

Most stable pick: run A. Distance to second place: 693 meV per atom.

---

Run A
Density functional theory data (GGA-PBE) for a relaxed ZrI2NO crystal.

Values from the calculation:
Its theoretical density is 6.78 g cm⁻³.

Unit cell a=4.9482 b=4.9482 c=3.7505 alpha=90.00 beta=90.00 gamma=90.00
Last column: nearest neighbours and their distance in Å.
Space group P4/mmm (No. 123)
Symmetry-distinct sites (fractional):
Zr (0.0000, 0.0000, 0.0000) (multiplicity 1)  8 I 3.10
I (0.0000, 0.5000, 0.5000) (multiplicity 2)  2 N 2.47
N (0.5000, 0.5000, 0.5000) (multiplicity 1)  2 O 1.88
O (0.5000, 0.5000, 0.0000) (multiplicity 1)  2 N 1.88

---

Run B
Density functional theory data (GGA-PBE) for a relaxed ZrI2NO crystal.

Values from the calculation:
Its theoretical density is 6.70 g cm⁻³.

Unit cell a=4.9033 b=4.9033 c=3.8660 alpha=90.00 beta=90.00 gamma=90.00
Last column: nearest neighbours and their distance in Å.
Space group P4/mmm (No. 123)
Symmetry-distinct sites (fractional):
Zr (0.0000, 0.0000, 0.0000) (multiplicity 1)  8 I 3.12, 4 N 3.47
I (0.0000, 0.5000, 0.5000) (multiplicity 2)  2 O 2.45
N (0.5000, 0.5000, 0.0000) (multiplicity 1)  2 O 1.93
O (0.5000, 0.5000, 0.5000) (multiplicity 1)  2 N 1.93

---

Most stable pick: run A. Distance to second place: 230 meV per atom.

---

Run A
Density functional theory data (GGA-PBE) for a relaxed OsI3N crystal.

Values from the calculation:
Its theoretical density is 8.64 g cm⁻³.

Unit cell a=4.8268 b=4.8268 c=4.8268 alpha=90.00 beta=90.00 gamma=90.00
Last column: nearest neighbours and their distance in Å.
Space group Pm-3m (No. 221)
Symmetry-distinct sites (fractional):
Os (0.0000, 0.0000, 0.0000) (multiplicity 1)  12 I 3.41
I (0.0000, 0.5000, 0.5000) (multiplicity 3)  2 N 2.41
N (0.5000, 0.5000, 0.5000) (multiplicity 1)  6 I 2.41

---

Run B
Density functional theory data (GGA-PBE) for a relaxed OsI3N crystal.

Values from the calculation:
Its theoretical density is 6.36 g cm⁻³.

Unit cell a=5.3446 b=5.3446 c=5.3446 alpha=90.00 beta=90.00 gamma=90.00
Last column: nearest neighbours and their distance in Å.
Space group Pm-3m (No. 221)
Symmetry-distinct sites (fractional):
Os (0.0000, 0.0000, 0.0000) (multiplicity 1)  6 I 2.67
I (0.0000, 0.0000, 0.5000) (multiplicity 3)  2 Os 2.67
N (0.5000, 0.5000, 0.5000) (multiplicity 1)  12 I 3.78

---

Most stable pick: run B. Distance to second place: 158 meV per atom.

---

Run A
Density functional theory data (GGA-PBE) for a relaxed Os3IN crystal.

Values from the calculation:
Its theoretical density is 10.43 g cm⁻³.

Unit cell a=4.8386 b=4.8386 c=4.8386 alpha=90.00 beta=90.00 gamma=90.00
Last column: nearest neighbours and their distance in Å.
Space group Pm-3m (No. 221)
Symmetry-distinct sites (fractional):
Os (0.0000, 0.0000, 0.5000) (multiplicity 3)  2 I 2.42
I (0.0000, 0.0000, 0.0000) (multiplicity 1)  6 Os 2.42
N (0.5000, 0.5000, 0.5000) (multiplicity 1)  12 Os 3.42

---

Run B
Density functional theory data (GGA-PBE) for a relaxed Os3IN crystal.

Values from the calculation:
Its theoretical density is 16.00 g cm⁻³.

Unit cell a=4.1956 b=4.1956 c=4.1956 alpha=90.00 beta=90.00 gamma=90.00
Last column: nearest neighbours and their distance in Å.
Space group Pm-3m (No. 221)
Symmetry-distinct sites (fractional):
Os (0.0000, 0.0000, 0.5000) (multiplicity 3)  2 N 2.10
I (0.5000, 0.5000, 0.5000) (multiplicity 1)  12 Os 2.97
N (0.0000, 0.0000, 0.0000) (multiplicity 1)  6 Os 2.10

---

Most stable pick: run B. Distance to second place: 2602 meV per atom.

---

Run A
Density functional theory data (GGA-PBE) for a relaxed Os2IN crystal.

Values from the calculation:
Its theoretical density is 14.91 g cm⁻³.

Unit cell a=6.1475 b=6.1475 c=6.1475 alpha=90.00 beta=90.00 gamma=90.00
Last column: nearest neighbours and their distance in Å.
Space group Fm-3m (No. 225)
Symmetry-distinct sites (fractional):
Os (0.2500, 0.2500, 0.2500) (multiplicity 8)  4 I 2.66, 4 N 2.66
I (0.0000, 0.0000, 0.0000) (multiplicity 4)  8 Os 2.66
N (0.0000, 0.0000, 0.5000) (multiplicity 4)  8 Os 2.66

---

Run B
Density functional theory data (GGA-PBE) for a relaxed Os2IN crystal.

Values from the calculation:
Its theoretical density is 12.22 g cm⁻³.

Unit cell a=5.0891 b=5.0891 c=10.9450 alpha=90.00 beta=90.00 gamma=90.00
Last column: nearest neighbours and their distance in Å.
Space group I-42d (No. 122)
Symmetry-distinct sites (fractional):
Os (0.1311, 0.2500, 0.1250) (multiplicity 8)  2 N 1.98
I (0.0000, 0.0000, 0.5000) (multiplicity 4)  4 Os 2.65
N (0.0000, 0.0000, 0.0000) (multiplicity 4)  4 Os 1.98

---

Most stable pick: run B. Distance to second place: 1009 meV per atom.